1.
DFT (PBE-GGA) results for BaOsRhO6 after structural relaxation.

It has space group Imma (No. 74), with a = 6.957 Å, b = 7.286 Å, c = 10.172 Å, α = 90.00°, β = 90.00° and γ = 90.00°. The inequivalent atoms are Ba at (0.000, 0.250, 0.114), Os at (0.000, 0.000, 0.500), Rh at (0.250, 0.250, 0.750), O at (0.000, 0.250, 0.465), O at (0.000, 0.250, 0.838) and O at (0.197, 0.029, 0.630).

The crystal system is orthorhombic. The calculation puts the total energy at -249.05 eV for the cell shown. As for the raw formation energy: -1.33 eV per atom.


2.
DFT (PBE-GGA) results for BaOsRu2O8 after structural relaxation.

It has space group C2/m (No. 12), with a = 8.088 Å, b = 6.249 Å, c = 7.132 Å, α = 90.00°, β = 105.80° and γ = 90.00°. The inequivalent atoms are Ba at (0.000, 0.000, 0.000), Os at (0.000, 0.000, 0.500), Ru at (0.051, 0.500, 0.235), O at (0.030, 0.234, 0.704), O at (0.154, 0.500, 0.028) and O at (0.236, 0.000, 0.561).

The crystal system is monoclinic. The calculation puts the total energy at -170.96 eV for the cell shown. As for the raw formation energy: -1.18 eV per atom.


3.
DFT (PBE-GGA) results for Ba2OsRuO6 after structural relaxation.

It has space group R-3m (No. 166, hexagonal axes), with a = 5.8285 Å, b = 5.8285 Å, c = 28.8885 Å, α = 90.00°, β = 90.00° and γ = 120.00°. The inequivalent atoms are Ba at (0.0000, 0.0000, 0.1255), Ba at (0.0000, 0.0000, 0.2873), Os at (0.0000, 0.0000, 0.0000), Os at (0.0000, 0.0000, 0.5000), Ru at (0.0000, 0.0000, 0.4107), O at (0.0135, 0.5068, 0.7059) and O at (0.0210, 0.5105, 0.1230).

The crystal system is trigonal. The calculation puts the total energy at -428.93 eV for the cell shown. As for the raw formation energy: -1.74 eV per atom.


4.
DFT (PBE-GGA) results for Ba2ScOsO6 after structural relaxation.

It has space group Fm-3m (No. 225), with a = 8.246 Å, b = 8.246 Å, c = 8.246 Å, α = 90.00°, β = 90.00° and γ = 90.00°. The inequivalent atoms are Ba at (0.250, 0.250, 0.250), Sc at (0.000, 0.000, 0.000), Os at (0.000, 0.000, 0.500) and O at (0.000, 0.000, 0.258).

The crystal system is cubic. The calculation puts the total energy at -303.08 eV for the cell shown. As for the raw formation energy: -2.46 eV per atom.


5.
DFT (PBE-GGA) results for BaSc2OsO8 after structural relaxation.

It has space group P-1 (No. 2), with a = 5.133 Å, b = 5.134 Å, c = 7.233 Å, α = 82.36°, β = 82.37° and γ = 79.16°. The inequivalent atoms are Ba at (0.000, 0.000, 0.000), Sc at (0.458, 0.458, 0.217), Os at (0.000, 0.000, 0.500), O at (0.196, 0.786, 0.317), O at (0.213, 0.803, 0.683), O at (0.235, 0.233, 0.441) and O at (0.339, 0.338, 0.001).

The crystal system is triclinic. The calculation puts the total energy at -92.01 eV for the cell shown. As for the raw formation energy: -2.21 eV per atom.


6.
DFT (PBE-GGA) results for BaScOsO6 after structural relaxation.

It has space group P312 (No. 149), with a = 5.3985 Å, b = 5.3985 Å, c = 5.7310 Å, α = 90.00°, β = 90.00° and γ = 120.00°. The inequivalent atoms are Ba at (0.0000, 0.0000, 0.0000), Sc at (0.3333, 0.6667, 0.5000), Os at (0.6667, 0.3333, 0.5000) and O at (0.3961, 0.0273, 0.6909).

The crystal system is trigonal. The calculation puts the total energy at -68.47 eV for the cell shown. As for the raw formation energy: -2.14 eV per atom.


7.
DFT (PBE-GGA) results for Ba2ScOsO8 after structural relaxation.

It has space group P-1 (No. 2), with a = 5.501 Å, b = 6.115 Å, c = 6.435 Å, α = 104.22°, β = 109.20° and γ = 98.75°. The inequivalent atoms are Ba at (0.143, 0.244, 0.373), Sc at (0.500, 0.500, 0.000), Os at (0.500, 0.000, 0.000), O at (0.125, 0.502, 0.078), O at (0.219, 0.930, 0.076), O at (0.304, 0.153, 0.776) and O at (0.377, 0.676, 0.754).

The crystal system is triclinic. The calculation puts the total energy at -84.16 eV for the cell shown. As for the raw formation energy: -1.92 eV per atom.


8.
DFT (PBE-GGA) results for Ba2ScOs3O12 after structural relaxation.

It has space group R-3m (No. 166, hexagonal axes), with a = 7.2590 Å, b = 7.2590 Å, c = 17.7154 Å, α = 90.00°, β = 90.00° and γ = 120.00°. The inequivalent atoms are Ba at (0.0000, 0.0000, 0.1426), Sc at (0.0000, 0.0000, 0.5000), Os at (0.0000, 0.5000, 0.0000), O at (0.0311, 0.5156, 0.1098) and O at (0.0794, 0.5397, 0.3417).

The crystal system is trigonal. The calculation puts the total energy at -404.02 eV for the cell shown. As for the raw formation energy: -1.74 eV per atom.


9.
DFT (PBE-GGA) results for BaOsSe2O8 after structural relaxation.

It has space group C2/m (No. 12), with a = 9.319 Å, b = 5.423 Å, c = 8.172 Å, α = 90.00°, β = 98.99° and γ = 90.00°. The inequivalent atoms are Ba at (0.000, 0.000, 0.000), Os at (0.000, 0.000, 0.500), Se at (0.116, 0.500, 0.708), O at (0.008, 0.247, 0.306), O at (0.172, 0.500, 0.915) and O at (0.190, 0.000, 0.547).

The crystal system is monoclinic. The calculation puts the total energy at -149.18 eV for the cell shown. As for the raw formation energy: -1.23 eV per atom.


10.
DFT (PBE-GGA) results for BaSiOsO6 after structural relaxation.

It has space group P312 (No. 149), with a = 5.0559 Å, b = 5.0559 Å, c = 5.8164 Å, α = 90.00°, β = 90.00° and γ = 120.00°. The inequivalent atoms are Ba at (0.0000, 0.0000, 0.0000), Si at (0.6667, 0.3333, 0.5000), Os at (0.3333, 0.6667, 0.5000) and O at (0.4013, 0.0193, 0.6798).

The crystal system is trigonal. The calculation puts the total energy at -66.27 eV for the cell shown. As for the raw formation energy: -1.99 eV per atom.


11.
DFT (PBE-GGA) results for BaSi2OsO after structural relaxation.

It has space group P4/mmm (No. 123), with a = 5.542 Å, b = 5.542 Å, c = 4.128 Å, α = 90.00°, β = 90.00° and γ = 90.00°. The inequivalent atoms are Ba at (0.000, 0.000, 0.000), Si at (0.000, 0.500, 0.000), Os at (0.500, 0.500, 0.500) and O at (0.000, 0.000, 0.500).

The crystal system is tetragonal. The calculation puts the total energy at -18.57 eV for the cell shown. As for the raw formation energy: 2.08 eV per atom.


12.
DFT (PBE-GGA) results for Ba2SmOs3O12 after structural relaxation.

It has space group R-3m (No. 166, hexagonal axes), with a = 7.3701 Å, b = 7.3701 Å, c = 16.9901 Å, α = 90.00°, β = 90.00° and γ = 120.00°. The inequivalent atoms are Ba at (0.0000, 0.0000, 0.1228), Sm at (0.0000, 0.0000, 0.5000), Os at (0.0000, 0.5000, 0.0000), O at (0.0141, 0.5071, 0.8868) and O at (0.0786, 0.5393, 0.3273).

The crystal system is trigonal. The calculation puts the total energy at -399.71 eV for the cell shown. As for the raw formation energy: -1.75 eV per atom.


Q: What is the raw formation energy in the eighth record?
A: -1.74 eV per atom


Q: What is the raw formation energy in the ninth record?
A: -1.23 eV per atom


Q: The lowest raw formation energy belongs to which entry?
A: Ba2ScOsO6


Q: raw formation energy of number 10 (BaSiOsO6)?
A: -1.99 eV per atom